First-principles (GGA-PBE) data for crystalline NaSb3N at its relaxed geometry, as listed in Alexandria.

Total magnetization = 2.72 μB per formula unit
E_form (uncorrected) = 1.749 eV/atom
VASP energy = -13.266 eV for the cell shown

a b c (Å): 5.4251 5.4251 5.4251
angles (deg): 90.00 90.00 90.00
With the nearest neighbours (Å) after each atom.
Space group Pm-3m (No. 221)
Symmetry-distinct sites (fractional):
1 Na 0.0000 0.0000 0.0000 x1  6 Sb 2.71
2 Sb 0.0000 0.0000 0.5000 x3  2 Na 2.71
3 N 0.5000 0.5000 0.5000 x1  12 Sb 3.84